Record 1
Al3MoBr: relaxed, GGA-PBE.

Calculated values
Excess energy over the best structure of this formula in the dataset in eV/atom: 0.791
Formation energy from raw total energies in eV/atom: 1.42

Lattice parameters (Å, degrees): 4.9291 4.9291 4.9291 90.00 90.00 90.00
Each line ends with the local moment (μB).
Positions (direct):
Mo1 0.5000 0.5000 0.5000  2.81
Al1 0.0000 0.5000 0.0000  -0.03
Al2 0.0000 0.0000 0.5000  -0.01
Al3 0.5000 0.0000 0.0000  -0.06
Br1 0.0000 0.0000 0.0000  -0.05



Record 2
K3Rb2Sn2: relaxed, GGA-PBE.

Calculated values
Energy of formation in meV per atom: -80

Lattice parameters (Å, degrees): 6.3262 7.5711 9.1405 69.19 69.75 65.31
Each line ends with the local moment (μB).
Positions (direct):
K1 0.5000 0.0000 0.0000  0.01
K2 0.3534 0.8401 0.4531  0.00
K3 0.6466 0.1599 0.5469  0.00
Rb1 0.1609 0.4823 0.1959  0.01
Rb2 0.8391 0.5177 0.8041  0.01
Sn1 0.1028 0.9606 0.8337  0.09
Sn2 0.8972 0.0394 0.1663  0.09



Record 3
NdTl2TeO6: relaxed, GGA-PBE.

Calculated values
Formation energy from raw total energies in eV/atom: -1.45

Lattice parameters (Å, degrees): 6.0550 6.0594 8.5707 90.00 90.00 90.00
Positions (direct):
Nd1 0.0000 0.7484 0.5000
Nd2 0.5000 0.2516 0.0000
Tl1 0.5000 0.7520 0.2498
Tl2 0.0000 0.2480 0.7498
Tl3 0.5000 0.7520 0.7502
Tl4 0.0000 0.2480 0.2502
Te1 0.5000 0.2490 0.5000
Te2 0.0000 0.7510 0.0000
O1 0.5000 0.2483 0.2721
O2 0.5000 0.2483 0.7279
O3 0.0000 0.7517 0.2279
O4 0.0000 0.7517 0.7721
O5 0.2720 0.0211 0.5000
O6 0.7280 0.0211 0.5000
O7 0.2720 0.4765 0.5000
O8 0.7280 0.4765 0.5000
O9 0.7720 0.5235 0.0000
O10 0.2280 0.5235 0.0000
O11 0.2280 0.9789 0.0000
O12 0.7720 0.9789 0.0000



Record 4
CeHgBiPt: relaxed, GGA-PBE.

Calculated values
Energy of formation in meV per atom: -514

Lattice parameters (Å, degrees): 5.1557 5.1557 5.1557 60.00 60.00 60.00
Each line ends with the local moment (μB).
Positions (direct):
Ce1 0.0000 0.0000 0.0000  0.70
Bi1 0.5000 0.5000 0.5000  0.00
Pt1 0.7500 0.7500 0.7500  -0.01
Hg1 0.2500 0.2500 0.2500  0.00



no.,total magnetic moment (μB/f.u.)
1,2.891
2,0.712
3,0.000
4,0.794